[1]
Below is a relaxed structure of Cd2TcOsO, with properties calculated at the GGA-PBEsol level.

Structure (POSCAR):
```
Cd2TcOsO
1.0
4.687 0.000 0.000
0.000 4.687 0.000
0.000 0.000 3.699
Cd Tc Os O
2 1 1 1
Direct
0.000 0.500 0.000
0.500 0.000 0.000
0.000 0.000 0.500
0.500 0.500 0.500
0.500 0.500 0.000
```

The space group is P4/mmm.

[2]
Below is a relaxed structure of Hg4IrBr, with properties calculated at the GGA-PBEsol level.

Structure (POSCAR):
```
Hg4IrBr
1.0
0.000 4.010 4.010
4.010 0.000 4.010
4.010 4.010 0.000
Hg Ir Br
4 1 1
Direct
0.125 0.125 0.125
0.125 0.125 0.626
0.125 0.626 0.125
0.626 0.125 0.125
0.750 0.750 0.750
0.500 0.500 0.500
```

The space group is F-43m.

[3]
Below is a relaxed structure of Cd2TeP, with properties calculated at the GGA-PBEsol level.

Structure (POSCAR):
```
Cd2TeP
1.0
0.000 3.522 3.522
3.522 0.000 3.522
3.522 3.522 0.000
Cd Te P
2 1 1
Direct
0.250 0.250 0.250
0.750 0.750 0.750
0.000 0.000 0.000
0.500 0.500 0.500
```

The space group is Fm-3m. The polymorph energy (0 for the lowest one) is 0.358 eV per formula unit.

[4]
Below is a relaxed structure of SrTi4Cu3O12, with properties calculated at the GGA-PBEsol level.

Structure (POSCAR):
```
SrTi4Cu3O12
1.0
-3.703 3.703 3.703
3.703 -3.703 3.703
3.703 3.703 -3.703
Sr Ti Cu O
1 4 3 12
Direct
0.000 0.000 0.000
0.000 0.000 0.500
0.000 0.500 0.000
0.500 0.000 0.000
0.500 0.500 0.500
0.000 0.500 0.500
0.500 0.000 0.500
0.500 0.500 0.000
0.127 0.306 0.822
0.178 0.484 0.306
0.178 0.873 0.694
0.306 0.178 0.484
0.306 0.822 0.127
0.484 0.306 0.178
0.516 0.694 0.822
0.694 0.178 0.873
0.694 0.822 0.516
0.822 0.127 0.306
0.822 0.516 0.694
0.873 0.694 0.178
```

The space group is Im-3.

Number 1: ΔE_f (raw) 65.7 kJ per mole of atoms, uncorrected energy -27.7 eV/cell. Number 2: ΔE_f (raw) 73.2 kJ per mole of atoms, uncorrected energy -9.4 eV/cell. Number 3: ΔE_f (raw) 34.4 kJ per mole of atoms, uncorrected energy -10.3 eV/cell. Number 4: ΔE_f (raw) -223.0 kJ per mole of atoms, uncorrected energy -157.3 eV/cell.